Record 1
Below is an optimized crystal structure of Cr2Si2Tc, with properties calculated at the PBE level.

```
data_Cr2Si2Tc
_cell_length_a 6.421
_cell_length_b 6.421
_cell_length_c 3.040
_cell_angle_alpha 90.00
_cell_angle_beta 90.00
_cell_angle_gamma 90.00
_symmetry_space_group_name_H-M 'P 4/m b m'
_symmetry_Int_Tables_number 127
_symmetry_space_group_name_Hall '-P 4 2ab'
loop_
_atom_site_label
_atom_site_type_symbol
_atom_site_fract_x
_atom_site_fract_y
_atom_site_fract_z
Cr1 Cr 0.159 0.341 0.000
Si1 Si 0.135 0.635 0.500
Tc1 Tc 0.000 0.000 0.500
```

Calculated values
Uncorrected formation energy in eV per atom: -0.20
Magnetization in μB per cell: 0.00
Volume in Å³ per cell: 125.4

Record 2
Below is an optimized crystal structure of CrSiTc, with properties calculated at the PBE level.

```
data_CrSiTc
_cell_length_a 4.2380
_cell_length_b 4.2380
_cell_length_c 4.9986
_cell_angle_alpha 90.00
_cell_angle_beta 90.00
_cell_angle_gamma 120.00
_symmetry_space_group_name_H-M 'P -3 m 1'
_symmetry_Int_Tables_number 164
_symmetry_space_group_name_Hall '-P 3 2"'
loop_
_atom_site_label
_atom_site_type_symbol
_atom_site_fract_x
_atom_site_fract_y
_atom_site_fract_z
Cr1 Cr 0.0000 0.0000 0.0000
Cr2 Cr 0.0000 0.0000 0.5000
Si1 Si 0.3333 0.6667 0.3082
Tc1 Tc 0.3333 0.6667 0.8108
```

Calculated values
Uncorrected formation energy in eV per atom: -0.28
Magnetization in μB per cell: 0.77
ΔE to the lowest computed polymorph in meV per atom: 115
Volume in Å³ per cell: 77.8

Record 3
Below is an optimized crystal structure of CrSiTc2, with properties calculated at the PBE level.

```
data_CrSiTc2
_cell_length_a 3.003
_cell_length_b 4.515
_cell_length_c 8.001
_cell_angle_alpha 90.00
_cell_angle_beta 90.00
_cell_angle_gamma 90.00
_symmetry_space_group_name_H-M 'C m m m'
_symmetry_Int_Tables_number 65
_symmetry_space_group_name_Hall '-C 2 2'
loop_
_atom_site_label
_atom_site_type_symbol
_atom_site_fract_x
_atom_site_fract_y
_atom_site_fract_z
Cr1 Cr 0.000 0.000 0.000
Si1 Si 0.000 0.000 0.500
Tc1 Tc 0.000 0.500 0.255
```

Calculated values
Uncorrected formation energy in eV per atom: 0.07
Magnetization in μB per cell: 0.00
Volume in Å³ per cell: 108.5

Record 4
Below is an optimized crystal structure of CrSiTc2, with properties calculated at the PBE level.

```
data_CrSiTc2
_cell_length_a 3.002
_cell_length_b 3.002
_cell_length_c 5.859
_cell_angle_alpha 90.00
_cell_angle_beta 90.00
_cell_angle_gamma 90.00
_symmetry_space_group_name_H-M 'P 4 m m'
_symmetry_Int_Tables_number 99
_symmetry_space_group_name_Hall 'P 4 -2'
loop_
_atom_site_label
_atom_site_type_symbol
_atom_site_fract_x
_atom_site_fract_y
_atom_site_fract_z
Cr1 Cr 0.000 0.000 0.000
Si1 Si 0.500 0.500 0.241
Tc1 Tc 0.000 0.000 0.471
Tc2 Tc 0.500 0.500 0.777
```

Calculated values
Uncorrected formation energy in eV per atom: -0.18
Magnetization in μB per cell: 0.00
Volume in Å³ per cell: 52.8

Record 5
Below is an optimized crystal structure of ThCrSi2Tc, with properties calculated at the PBE level.

```
data_ThCrSi2Tc
_cell_length_a 4.124
_cell_length_b 4.124
_cell_length_c 10.348
_cell_angle_alpha 90.00
_cell_angle_beta 90.00
_cell_angle_gamma 90.00
_symmetry_space_group_name_H-M 'I -4 m 2'
_symmetry_Int_Tables_number 119
_symmetry_space_group_name_Hall 'I -4 -2'
loop_
_atom_site_label
_atom_site_type_symbol
_atom_site_fract_x
_atom_site_fract_y
_atom_site_fract_z
Th1 Th 0.000 0.000 0.000
Cr1 Cr 0.000 0.500 0.250
Si1 Si 0.000 0.000 0.377
Tc1 Tc 0.000 0.500 0.750
```

Calculated values
Uncorrected formation energy in eV per atom: -0.59
Magnetization in μB per cell: 4.02
Volume in Å³ per cell: 176.0

Record 6
Below is an optimized crystal structure of TiCrSiTc, with properties calculated at the PBE level.

```
data_TiCrSiTc
_cell_length_a 6.041
_cell_length_b 6.041
_cell_length_c 6.041
_cell_angle_alpha 90.00
_cell_angle_beta 90.00
_cell_angle_gamma 90.00
_symmetry_space_group_name_H-M 'F -4 3 m'
_symmetry_Int_Tables_number 216
_symmetry_space_group_name_Hall 'F -4 2 3'
loop_
_atom_site_label
_atom_site_type_symbol
_atom_site_fract_x
_atom_site_fract_y
_atom_site_fract_z
Ti1 Ti 0.000 0.000 0.000
Cr1 Cr 0.250 0.250 0.750
Si1 Si 0.000 0.000 0.500
Tc1 Tc 0.250 0.250 0.250
```

Calculated values
Uncorrected formation energy in eV per atom: -0.45
Magnetization in μB per cell: 11.89
Volume in Å³ per cell: 220.5

Record 7
Below is an optimized crystal structure of VCrSiTc, with properties calculated at the PBE level.

```
data_VCrSiTc
_cell_length_a 5.923
_cell_length_b 5.923
_cell_length_c 5.923
_cell_angle_alpha 90.00
_cell_angle_beta 90.00
_cell_angle_gamma 90.00
_symmetry_space_group_name_H-M 'F -4 3 m'
_symmetry_Int_Tables_number 216
_symmetry_space_group_name_Hall 'F -4 2 3'
loop_
_atom_site_label
_atom_site_type_symbol
_atom_site_fract_x
_atom_site_fract_y
_atom_site_fract_z
V1 V 0.000 0.000 0.000
Cr1 Cr 0.250 0.250 0.250
Si1 Si 0.000 0.000 0.500
Tc1 Tc 0.250 0.250 0.750
```

Calculated values
Uncorrected formation energy in eV per atom: -0.38
Magnetization in μB per cell: 7.37
Volume in Å³ per cell: 207.8

Record 8
Below is an optimized crystal structure of Cr2SiTe, with properties calculated at the PBE level.

```
data_Cr2SiTe
_cell_length_a 3.855
_cell_length_b 3.855
_cell_length_c 9.228
_cell_angle_alpha 90.00
_cell_angle_beta 90.00
_cell_angle_gamma 90.00
_symmetry_space_group_name_H-M 'I -4 m 2'
_symmetry_Int_Tables_number 119
_symmetry_space_group_name_Hall 'I -4 -2'
loop_
_atom_site_label
_atom_site_type_symbol
_atom_site_fract_x
_atom_site_fract_y
_atom_site_fract_z
Cr1 Cr 0.000 0.000 0.000
Cr2 Cr 0.000 0.500 0.250
Si1 Si 0.000 0.500 0.750
Te1 Te 0.000 0.000 0.500
```

Calculated values
Uncorrected formation energy in eV per atom: 0.42
Magnetization in μB per cell: 13.33
ΔE to the lowest computed polymorph in meV per atom: 242
Volume in Å³ per cell: 137.1

Record 9
Below is an optimized crystal structure of Cr2SiTe, with properties calculated at the PBE level.

```
data_Cr2SiTe
_cell_length_a 3.1367
_cell_length_b 3.1367
_cell_length_c 23.5878
_cell_angle_alpha 90.00
_cell_angle_beta 90.00
_cell_angle_gamma 120.00
_symmetry_space_group_name_H-M 'R 3 m'
_symmetry_Int_Tables_number 160
_symmetry_space_group_name_Hall 'R 3 -2"'
loop_
_atom_site_label
_atom_site_type_symbol
_atom_site_fract_x
_atom_site_fract_y
_atom_site_fract_z
Cr1 Cr 0.0000 0.0000 0.0000
Cr2 Cr 0.0000 0.0000 0.2607
Si1 Si 0.0000 0.0000 0.7356
Te1 Te 0.0000 0.0000 0.5091
```

Calculated values
Uncorrected formation energy in eV per atom: 0.49
Magnetization in μB per cell: 1.79
ΔE to the lowest computed polymorph in meV per atom: 305
Volume in Å³ per cell: 201.0

Record 10
Below is an optimized crystal structure of CrSi2Te, with properties calculated at the PBE level.

```
data_CrSi2Te
_cell_length_a 3.645
_cell_length_b 5.359
_cell_length_c 7.745
_cell_angle_alpha 90.00
_cell_angle_beta 90.00
_cell_angle_gamma 90.00
_symmetry_space_group_name_H-M 'I m m 2'
_symmetry_Int_Tables_number 44
_symmetry_space_group_name_Hall 'I 2 -2'
loop_
_atom_site_label
_atom_site_type_symbol
_atom_site_fract_x
_atom_site_fract_y
_atom_site_fract_z
Cr1 Cr 0.000 0.000 0.000
Si1 Si 0.000 0.000 0.429
Si2 Si 0.000 0.500 0.731
Te1 Te 0.000 0.500 0.229
```

Calculated values
Uncorrected formation energy in eV per atom: 0.50
Magnetization in μB per cell: 6.00
Volume in Å³ per cell: 151.3

Record 11
Below is an optimized crystal structure of CrSi2Te, with properties calculated at the PBE level.

```
data_CrSi2Te
_cell_length_a 3.545
_cell_length_b 3.582
_cell_length_c 6.003
_cell_angle_alpha 90.00
_cell_angle_beta 107.12
_cell_angle_gamma 90.00
_symmetry_space_group_name_H-M 'P 1 m 1'
_symmetry_Int_Tables_number 6
_symmetry_space_group_name_Hall 'P -2y'
loop_
_atom_site_label
_atom_site_type_symbol
_atom_site_fract_x
_atom_site_fract_y
_atom_site_fract_z
Cr1 Cr 0.000 0.000 0.000
Si1 Si 0.155 0.500 0.314
Si2 Si 0.655 0.000 0.311
Te1 Te 0.396 0.500 0.791
```

Calculated values
Uncorrected formation energy in eV per atom: 0.20
Magnetization in μB per cell: 2.35
Volume in Å³ per cell: 72.9

Record 12
Below is an optimized crystal structure of CrSiTe2, with properties calculated at the PBE level.

```
data_CrSiTe2
_cell_length_a 6.239
_cell_length_b 6.239
_cell_length_c 12.881
_cell_angle_alpha 90.00
_cell_angle_beta 90.00
_cell_angle_gamma 90.00
_symmetry_space_group_name_H-M 'I -4 2 d'
_symmetry_Int_Tables_number 122
_symmetry_space_group_name_Hall 'I -4 2bw'
loop_
_atom_site_label
_atom_site_type_symbol
_atom_site_fract_x
_atom_site_fract_y
_atom_site_fract_z
Cr1 Cr 0.000 0.000 0.000
Si1 Si 0.000 0.000 0.500
Te1 Te 0.242 0.250 0.125
```

Calculated values
Uncorrected formation energy in eV per atom: 0.27
Magnetization in μB per cell: 16.00
Volume in Å³ per cell: 501.3

Record 13
Below is an optimized crystal structure of Cr2SiTe, with properties calculated at the PBE level.

```
data_Cr2SiTe
_cell_length_a 4.033
_cell_length_b 4.606
_cell_length_c 6.965
_cell_angle_alpha 90.00
_cell_angle_beta 90.00
_cell_angle_gamma 90.00
_symmetry_space_group_name_H-M 'C m m m'
_symmetry_Int_Tables_number 65
_symmetry_space_group_name_Hall '-C 2 2'
loop_
_atom_site_label
_atom_site_type_symbol
_atom_site_fract_x
_atom_site_fract_y
_atom_site_fract_z
Cr1 Cr 0.000 0.000 0.207
Si1 Si 0.000 0.500 0.000
Te1 Te 0.000 0.500 0.500
```

Calculated values
Uncorrected formation energy in eV per atom: 0.36
Magnetization in μB per cell: 9.72
ΔE to the lowest computed polymorph in meV per atom: 175
Volume in Å³ per cell: 129.4

Record 14
Below is an optimized crystal structure of Cr2SiTe, with properties calculated at the PBE level.

```
data_Cr2SiTe
_cell_length_a 8.773
_cell_length_b 3.212
_cell_length_c 4.525
_cell_angle_alpha 90.00
_cell_angle_beta 105.40
_cell_angle_gamma 90.00
_symmetry_space_group_name_H-M 'C 1 m 1'
_symmetry_Int_Tables_number 8
_symmetry_space_group_name_Hall 'C -2y'
loop_
_atom_site_label
_atom_site_type_symbol
_atom_site_fract_x
_atom_site_fract_y
_atom_site_fract_z
Cr1 Cr 0.000 0.000 0.000
Cr2 Cr 0.226 0.000 0.639
Si1 Si 0.226 0.500 0.090
Te1 Te 0.483 0.000 0.472
```

Calculated values
Uncorrected formation energy in eV per atom: 0.24
Magnetization in μB per cell: 0.43
ΔE to the lowest computed polymorph in meV per atom: 64
Volume in Å³ per cell: 122.9